1.
Below is a geometry-optimized CaHgW2 structure, with properties calculated at the GGA-PBE level.

Results
**Energy of formation**: 3.61 eV per formula unit
**Energy**: -24.60 eV per formula unit

The structure in CIF format:
```
data_CaHgW2
_chemical_formula_sum 'Ca1 Hg1 W2'
_symmetry_space_group_name_H-M 'P m m m'
_symmetry_Int_Tables_number 47
_cell_length_a 2.785
_cell_length_b 5.055
_cell_length_c 5.629
_cell_angle_alpha 90.00
_cell_angle_beta 90.00
_cell_angle_gamma 90.00
loop_
_symmetry_equiv_pos_as_xyz
'x,y,z'
'-x,-y,-z'
'-x,-y,z'
'x,y,-z'
'x,-y,-z'
'-x,y,z'
'-x,y,-z'
'x,-y,z'
loop_
_atom_site_label
_atom_site_type_symbol
_atom_site_fract_x
_atom_site_fract_y
_atom_site_fract_z
Ca1 Ca 0.000 0.000 0.000
Hg1 Hg 0.000 0.000 0.500
W1 W 0.500 0.500 0.232
```



2.
Below is a geometry-optimized La5Mn structure, with properties calculated at the GGA-PBE level.

Results
**Polymorph energy (0 for the lowest one)**: 0.0000 eV/atom
**Energy of formation**: 1.07 eV per formula unit
**Energy**: -32.74 eV per formula unit

The structure in CIF format:
```
data_La5Mn
_chemical_formula_sum 'La5 Mn1'
_symmetry_space_group_name_H-M 'P -6 2 m'
_symmetry_Int_Tables_number 189
_symmetry_space_group_name_Hall 'P -6 -2'
_cell_length_a 6.2915
_cell_length_b 6.2915
_cell_length_c 5.6505
_cell_angle_alpha 90.00
_cell_angle_beta 90.00
_cell_angle_gamma 120.00
loop_
_atom_site_label
_atom_site_type_symbol
_atom_site_fract_x
_atom_site_fract_y
_atom_site_fract_z
La1 La 0.0000 0.7032 0.0000
La2 La 0.3333 0.6667 0.5000
Mn1 Mn 0.0000 0.0000 0.5000
```



3.
Below is a geometry-optimized BeAl2Ni structure, with properties calculated at the GGA-PBE level.

Results
**Energy of formation**: -0.72 eV per formula unit
**Energy**: -17.71 eV per formula unit

The structure in CIF format:
```
data_BeAl2Ni
_chemical_formula_sum 'Be1 Al2 Ni1'
_symmetry_space_group_name_H-M 'P 4/m m m'
_symmetry_Int_Tables_number 123
_symmetry_space_group_name_Hall '-P 4 2'
_cell_length_a 2.702
_cell_length_b 2.702
_cell_length_c 6.753
_cell_angle_alpha 90.00
_cell_angle_beta 90.00
_cell_angle_gamma 90.00
loop_
_atom_site_label
_atom_site_type_symbol
_atom_site_fract_x
_atom_site_fract_y
_atom_site_fract_z
Be1 Be 0.000 0.000 0.000
Al1 Al 0.500 0.500 0.257
Ni1 Ni 0.000 0.000 0.500
```



4.
Below is a geometry-optimized TbYW4 structure, with properties calculated at the GGA-PBE level.

Results
**Energy of formation**: 0.98 eV per formula unit
**Energy**: -61.92 eV per formula unit

The structure in CIF format:
```
data_TbYW4
_chemical_formula_sum 'Tb4 Y4 W16'
_symmetry_space_group_name_H-M 'F -4 3 m'
_symmetry_Int_Tables_number 216
_symmetry_space_group_name_Hall 'F -4 2 3'
_cell_length_a 7.853
_cell_length_b 7.853
_cell_length_c 7.853
_cell_angle_alpha 90.00
_cell_angle_beta 90.00
_cell_angle_gamma 90.00
loop_
_atom_site_label
_atom_site_type_symbol
_atom_site_fract_x
_atom_site_fract_y
_atom_site_fract_z
Tb1 Tb 0.000 0.000 0.000
Y1 Y 0.250 0.250 0.250
W1 W 0.125 0.125 0.625
```



5.
Below is a geometry-optimized Cu2SiIr2 structure, with properties calculated at the GGA-PBE level.

Results
**Polymorph energy (0 for the lowest one)**: 0.0000 eV/atom
**Energy**: -31.82 eV per formula unit

The structure in CIF format:
```
data_Cu2SiIr2
_chemical_formula_sum 'Cu4 Si2 Ir4'
_symmetry_space_group_name_H-M 'P 4/m b m'
_symmetry_Int_Tables_number 127
_symmetry_space_group_name_Hall '-P 4 2ab'
_cell_length_a 6.049
_cell_length_b 6.049
_cell_length_c 4.026
_cell_angle_alpha 90.00
_cell_angle_beta 90.00
_cell_angle_gamma 90.00
loop_
_atom_site_label
_atom_site_type_symbol
_atom_site_fract_x
_atom_site_fract_y
_atom_site_fract_z
Cu1 Cu 0.156 0.344 0.000
Si1 Si 0.000 0.000 0.500
Ir1 Ir 0.148 0.648 0.500
```



6.
Below is a geometry-optimized ZnReHg3 structure, with properties calculated at the GGA-PBE level.

Results
**Polymorph energy (0 for the lowest one)**: 0.0000 eV/atom
**Energy of formation**: 4.98 eV per formula unit
**Energy**: -9.65 eV per formula unit

The structure in CIF format:
```
data_ZnReHg3
_chemical_formula_sum 'Zn1 Re1 Hg3'
_symmetry_space_group_name_H-M 'P m -3 m'
_symmetry_Int_Tables_number 221
_symmetry_space_group_name_Hall '-P 4 2 3'
_cell_length_a 5.405
_cell_length_b 5.405
_cell_length_c 5.405
_cell_angle_alpha 90.00
_cell_angle_beta 90.00
_cell_angle_gamma 90.00
loop_
_atom_site_label
_atom_site_type_symbol
_atom_site_fract_x
_atom_site_fract_y
_atom_site_fract_z
Zn1 Zn 0.000 0.000 0.000
Re1 Re 0.500 0.500 0.500
Hg1 Hg 0.000 0.500 0.500
```



7.
Below is a geometry-optimized La2Nd12Tl structure, with properties calculated at the GGA-PBE level.

Results
**Energy of formation**: 3.00 eV per formula unit
**Energy**: -66.43 eV per formula unit

The structure in CIF format:
```
data_La2Nd12Tl
_chemical_formula_sum 'La4 Nd24 Tl2'
_symmetry_space_group_name_H-M 'P 4/n b m'
_symmetry_Int_Tables_number 125
_cell_length_a 6.808
_cell_length_b 6.808
_cell_length_c 23.917
_cell_angle_alpha 90.00
_cell_angle_beta 90.00
_cell_angle_gamma 90.00
loop_
_symmetry_equiv_pos_as_xyz
'x,y,z'
'-x,-y,-z'
'-y+1/2,x,z'
'y+1/2,-x,-z'
'-x+1/2,-y+1/2,z'
'x+1/2,y+1/2,-z'
'y,-x+1/2,z'
'-y,x+1/2,-z'
'x,-y+1/2,-z'
'-x,y+1/2,z'
'-y+1/2,-x+1/2,-z'
'y+1/2,x+1/2,z'
'-x+1/2,y,-z'
'x+1/2,-y,z'
'y,x,-z'
'-y,-x,z'
loop_
_atom_site_label
_atom_site_type_symbol
_atom_site_fract_x
_atom_site_fract_y
_atom_site_fract_z
La1 La 0.250 0.750 0.248
Nd1 Nd 0.004 0.504 0.092
Nd2 Nd 0.084 0.584 0.565
Nd3 Nd 0.250 0.250 0.200
Nd4 Nd 0.250 0.250 0.330
Tl1 Tl 0.250 0.750 0.000
```



8.
Below is a geometry-optimized Mn2AgW structure, with properties calculated at the GGA-PBE level.

Results
**Polymorph energy (0 for the lowest one)**: 0.1142 eV/atom
**Energy of formation**: 1.75 eV per formula unit
**Energy**: -32.39 eV per formula unit

The structure in CIF format:
```
data_Mn2AgW
_chemical_formula_sum 'Mn2 Ag1 W1'
_symmetry_space_group_name_H-M 'P m m 2'
_symmetry_Int_Tables_number 25
_cell_length_a 2.715
_cell_length_b 3.862
_cell_length_c 5.571
_cell_angle_alpha 90.00
_cell_angle_beta 90.00
_cell_angle_gamma 90.00
loop_
_symmetry_equiv_pos_as_xyz
'x,y,z'
'-x,-y,z'
'-x,y,z'
'x,-y,z'
loop_
_atom_site_label
_atom_site_type_symbol
_atom_site_fract_x
_atom_site_fract_y
_atom_site_fract_z
Mn1 Mn 0.000 0.000 0.000
Mn2 Mn 0.500 0.500 0.224
Ag1 Ag 0.500 0.500 0.740
W1 W 0.000 0.000 0.451
```



9.
Below is a geometry-optimized Zr2MnCl structure, with properties calculated at the GGA-PBE level.

Results
**Polymorph energy (0 for the lowest one)**: 0.3084 eV/atom
**Energy**: -28.92 eV per formula unit

The structure in CIF format:
```
data_Zr2MnCl
_chemical_formula_sum 'Zr2 Mn1 Cl1'
_symmetry_space_group_name_H-M 'P 4/m m m'
_symmetry_Int_Tables_number 123
_symmetry_space_group_name_Hall '-P 4 2'
_cell_length_a 5.042
_cell_length_b 5.042
_cell_length_c 3.099
_cell_angle_alpha 90.00
_cell_angle_beta 90.00
_cell_angle_gamma 90.00
loop_
_atom_site_label
_atom_site_type_symbol
_atom_site_fract_x
_atom_site_fract_y
_atom_site_fract_z
Zr1 Zr 0.000 0.500 0.000
Mn1 Mn 0.000 0.000 0.500
Cl1 Cl 0.500 0.500 0.000
```



10.
Below is a geometry-optimized PmY3Sc3 structure, with properties calculated at the GGA-PBE level.

Results
**Polymorph energy (0 for the lowest one)**: 0.0000 eV/atom
**Energy of formation**: 0.24 eV per formula unit
**Energy**: -42.89 eV per formula unit

The structure in CIF format:
```
data_PmY3Sc3
_chemical_formula_sum 'Pm2 Y6 Sc6'
_symmetry_space_group_name_H-M 'P 63/m'
_symmetry_Int_Tables_number 176
_symmetry_space_group_name_Hall '-P 6c'
_cell_length_a 9.2895
_cell_length_b 9.2895
_cell_length_c 5.4867
_cell_angle_alpha 90.00
_cell_angle_beta 90.00
_cell_angle_gamma 120.00
loop_
_atom_site_label
_atom_site_type_symbol
_atom_site_fract_x
_atom_site_fract_y
_atom_site_fract_z
Pm1 Pm 0.3333 0.6667 0.2500
Y1 Y 0.0494 0.2446 0.2500
Sc1 Sc 0.0975 0.4837 0.7500
```



11.
Below is a geometry-optimized Ce4Pb2O structure, with properties calculated at the GGA-PBE level.

Results
**Energy**: -43.42 eV per formula unit

The structure in CIF format:
```
data_Ce4Pb2O
_chemical_formula_sum 'Ce8 Pb4 O2'
_symmetry_space_group_name_H-M 'I 4/m m m'
_symmetry_Int_Tables_number 139
_symmetry_space_group_name_Hall '-I 4 2'
_cell_length_a 4.795
_cell_length_b 4.795
_cell_length_c 17.035
_cell_angle_alpha 90.00
_cell_angle_beta 90.00
_cell_angle_gamma 90.00
loop_
_atom_site_label
_atom_site_type_symbol
_atom_site_fract_x
_atom_site_fract_y
_atom_site_fract_z
Ce1 Ce 0.000 0.000 0.166
Ce2 Ce 0.000 0.500 0.000
Pb1 Pb 0.000 0.000 0.359
O1 O 0.000 0.000 0.000
```



12.
Below is a geometry-optimized Mn2HgRh structure, with properties calculated at the GGA-PBE level.

Results
**Energy of formation**: 0.95 eV per formula unit
**Energy**: -25.05 eV per formula unit

The structure in CIF format:
```
data_Mn2HgRh
_chemical_formula_sum 'Mn6 Hg3 Rh3'
_symmetry_space_group_name_H-M 'R -3 m'
_symmetry_Int_Tables_number 166
_symmetry_space_group_name_Hall '-R 3 2"'
_cell_length_a 2.9619
_cell_length_b 2.9619
_cell_length_c 26.0512
_cell_angle_alpha 90.00
_cell_angle_beta 90.00
_cell_angle_gamma 120.00
loop_
_atom_site_label
_atom_site_type_symbol
_atom_site_fract_x
_atom_site_fract_y
_atom_site_fract_z
Mn1 Mn 0.0000 0.0000 0.2424
Hg1 Hg 0.0000 0.0000 0.0000
Rh1 Rh 0.0000 0.0000 0.5000
```



energy of number 3 (BeAl2Ni)? -17.71 eV per formula unit



Which of these has the highest energy? ZnReHg3